Entry 1:
# PBE Pr2Sb2Pd15, relaxed
data_Pr2Sb2Pd15
_symmetry_space_group_name_H-M 'P 1'
_symmetry_Int_Tables_number 1
_symmetry_space_group_name_Hall 'P 1'
_cell_length_a 7.090
_cell_length_b 7.090
_cell_length_c 7.090
_cell_angle_alpha 82.04
_cell_angle_beta 82.04
_cell_angle_gamma 82.04
loop_
_atom_site_label
_atom_site_type_symbol
_atom_site_fract_x
_atom_site_fract_y
_atom_site_fract_z
Sb1 Sb 0.896 0.896 0.896
Pd1 Pd 0.325 0.000 0.675
Pd2 Pd 0.325 0.675 0.000
Pd3 Pd 0.166 0.661 0.661
Pd4 Pd 0.000 0.675 0.325
Pr1 Pr 0.352 0.352 0.352
Pd5 Pd 0.500 0.000 0.000
Pr2 Pr 0.648 0.648 0.648
Pd6 Pd 0.339 0.339 0.834
Pd7 Pd 0.661 0.166 0.661
Pd8 Pd 0.661 0.661 0.166
Pd9 Pd 0.000 0.325 0.675
Pd10 Pd 0.834 0.339 0.339
Pd11 Pd 0.675 0.325 0.000
Pd12 Pd 0.339 0.834 0.339
Sb2 Sb 0.104 0.104 0.104
Pd13 Pd 0.000 0.500 0.000
Pd14 Pd 0.675 0.000 0.325
Pd15 Pd 0.000 0.000 0.500
# space group: R-3m
# M_tot: 0.00 Bohr magnetons per cell
# ΔE_f (raw): -392 meV per atom
# VASP energy: -5.43 eV/atom



Entry 2:
# PBE PrSb2Pd7, relaxed
data_PrSb2Pd7
_symmetry_space_group_name_H-M 'P 1'
_symmetry_Int_Tables_number 1
_symmetry_space_group_name_Hall 'P 1'
_cell_length_a 4.671
_cell_length_b 7.498
_cell_length_c 7.498
_cell_angle_alpha 120.03
_cell_angle_beta 90.00
_cell_angle_gamma 90.00
loop_
_atom_site_label
_atom_site_type_symbol
_atom_site_fract_x
_atom_site_fract_y
_atom_site_fract_z
Pr1 Pr 0.000 0.000 0.000
Pd1 Pd 0.500 0.933 0.705
Pd2 Pd 0.500 0.705 0.933
Pd3 Pd 0.000 0.217 0.783
Pd4 Pd 0.500 0.067 0.295
Sb1 Sb 0.500 0.698 0.302
Pd5 Pd 0.000 0.783 0.217
Pd6 Pd 0.500 0.295 0.067
Pd7 Pd 0.500 0.500 0.500
Sb2 Sb 0.500 0.302 0.698
# space group: Cmmm
# M_tot: 0.00 Bohr magnetons per cell
# ΔE_f (raw): -296 meV per atom
# VASP energy: -5.23 eV/atom



Entry 3:
# PBE Pr2Sb7Pd12, relaxed
data_Pr2Sb7Pd12
_symmetry_space_group_name_H-M 'P 1'
_symmetry_Int_Tables_number 1
_symmetry_space_group_name_Hall 'P 1'
_cell_length_a 4.363
_cell_length_b 10.565
_cell_length_c 10.565
_cell_angle_alpha 120.00
_cell_angle_beta 90.00
_cell_angle_gamma 90.00
loop_
_atom_site_label
_atom_site_type_symbol
_atom_site_fract_x
_atom_site_fract_y
_atom_site_fract_z
Pd1 Pd 0.782 0.257 0.136
Sb1 Sb 0.732 0.595 0.888
Pd2 Pd 0.218 0.121 0.257
Pd3 Pd 0.242 0.942 0.565
Pd4 Pd 0.242 0.622 0.058
Pr1 Pr 0.760 0.667 0.333
Pd5 Pd 0.782 0.879 0.743
Pd6 Pd 0.218 0.136 0.879
Pd7 Pd 0.782 0.864 0.121
Pd8 Pd 0.758 0.058 0.435
Pd9 Pd 0.758 0.378 0.942
Sb2 Sb 0.268 0.706 0.595
Sb3 Sb 0.500 0.000 0.000
Sb4 Sb 0.732 0.112 0.706
Pd10 Pd 0.218 0.743 0.864
Sb5 Sb 0.268 0.888 0.294
Sb6 Sb 0.732 0.294 0.405
Pr2 Pr 0.240 0.333 0.667
Pd11 Pd 0.758 0.565 0.623
Pd12 Pd 0.242 0.435 0.377
Sb7 Sb 0.268 0.405 0.112
# space group: P-3
# M_tot: 0.00 Bohr magnetons per cell
# ΔE_f (raw): -634 meV per atom
# VASP energy: -5.43 eV/atom



Entry 4:
# PBE Pr2Sb3Pd9, relaxed
data_Pr2Sb3Pd9
_symmetry_space_group_name_H-M 'P 1'
_symmetry_Int_Tables_number 1
_symmetry_space_group_name_Hall 'P 1'
_cell_length_a 8.105
_cell_length_b 8.105
_cell_length_c 10.578
_cell_angle_alpha 89.67
_cell_angle_beta 112.78
_cell_angle_gamma 120.14
loop_
_atom_site_label
_atom_site_type_symbol
_atom_site_fract_x
_atom_site_fract_y
_atom_site_fract_z
Sb1 Sb 0.152 0.821 0.500
Pd1 Pd 0.220 0.524 0.585
Pd2 Pd 0.562 0.365 0.085
Sb2 Sb 0.848 0.179 0.500
Pd3 Pd 0.469 0.816 0.455
Pd4 Pd 0.780 0.476 0.415
Pd5 Pd 0.438 0.635 0.915
Pd6 Pd 0.114 0.139 0.427
Sb3 Sb 0.500 0.500 0.500
Pd7 Pd 0.139 0.986 0.955
Pr1 Pr 0.336 0.241 0.751
Pd8 Pd 0.528 0.073 0.253
Pd9 Pd 0.531 0.184 0.545
Pr2 Pr 0.664 0.759 0.249
Pd10 Pd 0.875 0.125 0.750
Sb4 Sb 0.178 0.348 0.000
Pd11 Pd 0.788 0.314 0.927
Pd12 Pd 0.886 0.861 0.573
Pr3 Pr 0.010 0.415 0.251
Pd13 Pd 0.125 0.875 0.250
Sb5 Sb 0.822 0.652 0.000
Pd14 Pd 0.680 0.725 0.753
Pd15 Pd 0.212 0.686 0.073
Pd16 Pd 0.861 0.014 0.045
Pr4 Pr 0.990 0.585 0.749
Pd17 Pd 0.320 0.275 0.247
Pd18 Pd 0.472 0.927 0.747
Sb6 Sb 0.500 0.000 0.000
# space group: C2/c
# M_tot: 0.00 Bohr magnetons per cell
# ΔE_f (raw): -703 meV per atom
# VASP energy: -5.61 eV/atom



Entry 5:
# PBE PrSbPd, relaxed
data_PrSbPd
_symmetry_space_group_name_H-M 'P 1'
_symmetry_Int_Tables_number 1
_symmetry_space_group_name_Hall 'P 1'
_cell_length_a 4.937
_cell_length_b 4.937
_cell_length_c 7.290
_cell_angle_alpha 90.00
_cell_angle_beta 90.00
_cell_angle_gamma 120.00
loop_
_atom_site_label
_atom_site_type_symbol
_atom_site_fract_x
_atom_site_fract_y
_atom_site_fract_z
Sb1 Sb 0.667 0.333 0.046
Pr1 Pr 0.000 0.000 0.725
Sb2 Sb 0.333 0.667 0.954
Pd1 Pd 0.333 0.667 0.555
Pr2 Pr 0.000 0.000 0.275
Pd2 Pd 0.667 0.333 0.445
# space group: P-3m1
# M_tot: 0.00 Bohr magnetons per cell
# ΔE_f (raw): -512 meV per atom
# VASP energy: -5.21 eV/atom



Entry 6:
# PBE PrSbPd2, relaxed
data_PrSbPd2
_symmetry_space_group_name_H-M 'P 1'
_symmetry_Int_Tables_number 1
_symmetry_space_group_name_Hall 'P 1'
_cell_length_a 4.025
_cell_length_b 4.633
_cell_length_c 4.633
_cell_angle_alpha 90.00
_cell_angle_beta 90.00
_cell_angle_gamma 90.00
loop_
_atom_site_label
_atom_site_type_symbol
_atom_site_fract_x
_atom_site_fract_y
_atom_site_fract_z
Pd1 Pd 0.000 0.000 0.500
Pr1 Pr 0.500 0.500 0.500
Sb1 Sb 0.500 0.000 0.000
Pd2 Pd 0.000 0.500 0.000
# space group: P4/mmm
# M_tot: 0.00 Bohr magnetons per cell
# ΔE_f (raw): -666 meV per atom
# VASP energy: -5.49 eV/atom



Entry 7:
# PBE PrSb2Pd6, relaxed
data_PrSb2Pd6
_symmetry_space_group_name_H-M 'P 1'
_symmetry_Int_Tables_number 1
_symmetry_space_group_name_Hall 'P 1'
_cell_length_a 4.573
_cell_length_b 6.704
_cell_length_c 6.704
_cell_angle_alpha 73.53
_cell_angle_beta 69.94
_cell_angle_gamma 69.94
loop_
_atom_site_label
_atom_site_type_symbol
_atom_site_fract_x
_atom_site_fract_y
_atom_site_fract_z
Pd1 Pd 0.815 0.871 0.500
Pd2 Pd 0.500 0.758 0.242
Sb1 Sb 0.671 0.329 0.329
Pr1 Pr 0.000 0.000 0.000
Sb2 Sb 0.329 0.671 0.671
Pd3 Pd 0.815 0.500 0.871
Pd4 Pd 0.500 0.242 0.758
Pd5 Pd 0.185 0.129 0.500
Pd6 Pd 0.185 0.500 0.129
# space group: C2/m
# M_tot: 0.00 Bohr magnetons per cell
# ΔE_f (raw): -469 meV per atom
# VASP energy: -5.38 eV/atom



Entry 8:
# PBE PrSbPd, relaxed
data_PrSbPd
_symmetry_space_group_name_H-M 'P 1'
_symmetry_Int_Tables_number 1
_symmetry_space_group_name_Hall 'P 1'
_cell_length_a 5.499
_cell_length_b 6.086
_cell_length_c 6.086
_cell_angle_alpha 87.77
_cell_angle_beta 63.14
_cell_angle_gamma 63.14
loop_
_atom_site_label
_atom_site_type_symbol
_atom_site_fract_x
_atom_site_fract_y
_atom_site_fract_z
Pr1 Pr 0.750 0.750 0.750
Sb1 Sb 0.340 0.410 0.910
Sb2 Sb 0.160 0.090 0.590
Pd1 Pd 0.250 0.750 0.250
Pr2 Pr 0.750 0.250 0.250
Pd2 Pd 0.750 0.750 0.250
# space group: Imma
# M_tot: 0.00 Bohr magnetons per cell
# ΔE_f (raw): -835 meV per atom
# VASP energy: -5.53 eV/atom



Entry 9:
# PBE PrSbPd, relaxed
data_PrSbPd
_symmetry_space_group_name_H-M 'P 1'
_symmetry_Int_Tables_number 1
_symmetry_space_group_name_Hall 'P 1'
_cell_length_a 4.205
_cell_length_b 4.205
_cell_length_c 5.341
_cell_angle_alpha 113.18
_cell_angle_beta 113.18
_cell_angle_gamma 90.00
loop_
_atom_site_label
_atom_site_type_symbol
_atom_site_fract_x
_atom_site_fract_y
_atom_site_fract_z
Pr1 Pr 0.615 0.615 0.230
Pd1 Pd 0.965 0.965 0.929
Sb1 Sb 0.271 0.271 0.541
# space group: I4mm
# M_tot: 0.00 Bohr magnetons per cell
# ΔE_f (raw): -630 meV per atom
# VASP energy: -5.33 eV/atom



Entry 10:
# PBE Pr3Sb4Pd4, relaxed
data_Pr3Sb4Pd4
_symmetry_space_group_name_H-M 'P 1'
_symmetry_Int_Tables_number 1
_symmetry_space_group_name_Hall 'P 1'
_cell_length_a 4.587
_cell_length_b 7.359
_cell_length_c 8.724
_cell_angle_alpha 114.94
_cell_angle_beta 105.24
_cell_angle_gamma 90.00
loop_
_atom_site_label
_atom_site_type_symbol
_atom_site_fract_x
_atom_site_fract_y
_atom_site_fract_z
Pr1 Pr 0.000 0.500 0.000
Sb1 Sb 0.786 0.286 0.571
Sb2 Sb 0.214 0.714 0.429
Pd1 Pd 0.673 0.870 0.345
Sb3 Sb 0.500 0.799 0.000
Pd2 Pd 0.673 0.475 0.345
Pd3 Pd 0.327 0.525 0.655
Pd4 Pd 0.327 0.130 0.655
Pr2 Pr 0.132 0.132 0.264
Pr3 Pr 0.868 0.868 0.736
Sb4 Sb 0.500 0.201 0.000
# space group: Immm
# M_tot: 0.00 Bohr magnetons per cell
# ΔE_f (raw): -973 meV per atom
# VASP energy: -5.66 eV/atom